Density functional theory data (PBE-GGA) for TaIrNO after structural relaxation.

Lattice parameters (Å, degrees): 3.2163 5.7317 5.6619 90.00 90.00 90.00
Last column: nearest neighbours and their distance in Å.
Atoms (fractional coordinates):
Ir (0.5000, 0.9293, 0.1915)  2 N 2.05, 1 O 2.15
Ir (0.5000, 0.4293, 0.8085)  2 N 2.05, 1 O 2.15
N (0.0000, 0.8933, 0.4140)  2 Ta 2.00-2.05, 2 Ir 2.05
N (0.0000, 0.3933, 0.5860)  2 Ta 2.00-2.05, 2 Ir 2.05
O (0.5000, 0.3688, 0.1826)  2 Ta 2.03, 1 Ir 2.15
O (0.5000, 0.8688, 0.8174)  2 Ta 2.03, 1 Ir 2.15
Ta (0.0000, 0.5626, 0.2766)  2 N 2.00-2.05, 2 O 2.03
Ta (0.0000, 0.0626, 0.7235)  2 N 2.00-2.05, 2 O 2.03

Computed properties:
energy relative to the lowest polymorph listed for this composition	32.9	kJ/mol of atoms
final energy	-9.17	eV per atom